Crystalline VSeN2F at its relaxed geometry. Source: Alexandria, functional PBE+U.

abc: 3.9353 3.9353 3.8148
angles: 90.00 90.00 90.00
Sites, in units of the cell vectors:
1 V 0.0000 0.0000 0.0000
2 Se 0.5000 0.5000 0.5000
3 N 0.0000 0.5000 0.0000
4 N 0.5000 0.0000 0.0000
5 F 0.0000 0.0000 0.5000

Summary:
Its volume is 59 Å³/cell. The energy above the most stable polymorph in this dataset comes out at 0.000 eV/atom.